DFT (PBE) results for a geometry-optimized NpAlZn structure.

- total magnetization (μB/f.u.) = 0.00
- formation energy from the elements (meV/atom) = 68
- D(E_F) (states/eV per atom) = 1.2454

a = 2.661 Å, b = 2.661 Å, c = 7.160 Å
α = 100.71°, β = 100.71°, γ = 90.00°
Sites, in units of the cell vectors:
Np: 0.335 0.335 0.670
Zn: 0.658 0.658 0.317
Al: 0.007 0.007 0.014